1.
DFT (PBE) results for a relaxed DyH2Br4 crystal.

Summary:
* space-group type: No. 65
* total DFT energy (no corrections): -22.519 eV/cell
* density of states at the Fermi level: 1.8 states/eV/cell

POSCAR file:
```
DyH2Br4
1.0
3.888 0.000 0.000
0.000 5.718 -1.674
0.000 -0.753 8.030
Dy H Br
1 2 4
direct
0.000 0.500 0.000
0.500 0.108 0.216
0.500 0.892 0.784
0.500 0.631 0.262
0.000 0.889 0.778
0.500 0.369 0.738
0.000 0.111 0.222
```

2.
DFT (PBE) results for a relaxed La2Zr crystal.

Summary:
* space-group type: No. 15
* total DFT energy (no corrections): -35.914 eV/cell
* density of states at the Fermi level: 7.9 states/eV/cell
* polymorph energy (0 for the lowest one): 2.47 kJ/mol of atoms

POSCAR file:
```
La2Zr
1.0
3.151 5.336 -0.005
-3.151 5.336 -0.005
0.000 3.551 5.544
La Zr
4 2
direct
0.227 0.422 0.705
0.578 0.773 0.795
0.422 0.227 0.205
0.773 0.578 0.295
0.975 0.025 0.750
0.025 0.975 0.250
```

3.
DFT (PBE) results for a relaxed PmDyEr2In4 crystal.

Summary:
* space-group type: No. 166
* total DFT energy (no corrections): -33.102 eV/cell
* density of states at the Fermi level: 3.9 states/eV/cell

POSCAR file:
```
PmDyEr2In4
1.0
-0.544 5.240 -0.774
-4.259 2.548 1.930
2.690 4.139 7.818
Pm Dy Er In
1 1 2 4
direct
0.000 0.000 0.000
0.500 0.500 0.500
0.750 0.750 0.749
0.250 0.250 0.251
0.376 0.376 0.872
0.874 0.874 0.378
0.126 0.126 0.622
0.624 0.624 0.128
```

4.
DFT (PBE) results for a relaxed Sc2ZnMoH crystal.

Summary:
* space-group type: No. 123
* total DFT energy (no corrections): -21.624 eV/cell
* density of states at the Fermi level: 4.6 states/eV/cell
* polymorph energy (0 for the lowest one): 143.07 kJ/mol of atoms

POSCAR file:
```
Sc2ZnMoH
1.0
5.057 0.000 0.000
0.000 4.758 0.000
0.000 0.000 5.057
Sc H Mo Zn
2 1 1 1
direct
0.000 0.000 0.500
0.500 0.000 0.000
0.500 0.500 0.500
0.000 0.500 0.000
0.000 0.000 0.000
```

5.
DFT (PBE) results for a relaxed Pa2ZnCl8 crystal.

Summary:
* space-group type: No. 12
* total DFT energy (no corrections): -51.644 eV/cell
* density of states at the Fermi level: 6.6 states/eV/cell
* ΔE_f (raw): -1.510 eV/atom

POSCAR file:
```
Pa2ZnCl8
1.0
10.287 -0.208 -0.178
0.396 6.966 -2.577
0.396 -1.466 7.281
Pa Zn Cl
2 1 8
direct
0.298 0.091 0.091
0.702 0.909 0.909
0.000 0.000 0.000
0.763 0.177 0.814
0.237 0.186 0.823
0.532 0.232 0.232
0.468 0.768 0.768
0.763 0.814 0.177
0.237 0.823 0.186
0.185 0.412 0.412
0.815 0.588 0.588
```